Record 1
Pm7Sn2Ge2 | PBE | optimized geometry

Its density of states at the Fermi level is 12.92 states/eV per cell. The value obtained for the density is 6.99 g/cm3. As for the symmetry: Imm2. As for the energy of formation from the pure elements: -6.88 eV/f.u.

abc: 4.4639 9.2671 9.2671
angles: 64.61 76.06 76.06
Closest atoms and distances in Å follow each position.
Atoms (fractional coordinates):
Pm  0.8184  0.0620  0.3012  1 Ge 2.94, 3 Sn 3.11-3.20
Pm  0.8705  0.4137  0.8452  2 Ge 3.02, 2 Sn 3.32
Pm  0.5000  0.0122  0.9878  3 Ge 3.28, 2 Sn 3.52
Pm  0.6109  0.5009  0.2772  3 Ge 3.14-3.19, 2 Sn 3.29, 1 Pm 3.33
Pm  0.3891  0.7228  0.4991  3 Ge 3.14-3.19, 2 Sn 3.29, 1 Pm 3.33
Pm  0.1816  0.6988  0.9380  1 Ge 2.94, 3 Sn 3.11-3.20
Pm  0.1295  0.1548  0.5863  2 Ge 3.02, 2 Sn 3.32
Sn  0.7288  0.8587  0.6837  7 Pm 3.11-3.32
Sn  0.2712  0.3163  0.1413  7 Pm 3.11-3.32
Ge  0.0000  0.7699  0.2301  8 Pm 2.94-3.28
Ge  0.5000  0.3437  0.6563  7 Pm 3.02-3.28

***

Record 2
Pm3Sn2Ge4 | PBE | optimized geometry

Its density of states at the Fermi level is 3.94 states/eV per cell. The value obtained for the density is 7.19 g/cm3. As for the symmetry: C2/m. As for the energy of formation from the pure elements: -5.00 eV/f.u.

abc: 4.2872 6.9939 8.0389
angles: 106.11 105.47 90.00
Closest atoms and distances in Å follow each position.
Atoms (fractional coordinates):
Pm  0.8661  0.4068  0.7323  7 Ge 2.99-3.35
Pm  0.1339  0.5932  0.2677  7 Ge 2.99-3.35
Pm  0.0000  0.0000  0.0000  6 Ge 3.11-3.27, 4 Sn 3.27
Sn  0.3438  0.0200  0.6876  4 Ge 2.83-2.95
Sn  0.6562  0.9800  0.3124  4 Ge 2.83-2.95
Ge  0.5188  0.3312  0.0377  1 Ge 2.59
Ge  0.7867  0.7488  0.5734  3 Sn 2.83-2.93, 3 Pm 2.99-3.15
Ge  0.4812  0.6688  0.9623  1 Ge 2.59
Ge  0.2133  0.2512  0.4266  3 Sn 2.83-2.93, 3 Pm 2.99-3.15

***

Record 3
Pm2Sn2Ge | PBE | optimized geometry

Its density of states at the Fermi level is 5.37 states/eV per cell. As for the offset from the most stable computed form: 250 meV per atom. The value obtained for the density is 6.95 g/cm3. As for the symmetry: I4/mmm. As for the energy of formation from the pure elements: -1.89 eV/f.u.

abc: 4.0536 4.0536 9.1856
angles: 102.75 102.75 90.00
Closest atoms and distances in Å follow each position.
Atoms (fractional coordinates):
Pm  0.4032  0.4032  0.8065  4 Ge 3.33, 4 Sn 3.36, 1 Pm 3.38
Pm  0.5968  0.5968  0.1935  4 Ge 3.33, 4 Sn 3.36, 1 Pm 3.38
Sn  0.7500  0.2500  0.5000  4 Sn 2.87
Sn  0.2500  0.7500  0.5000  4 Sn 2.87
Ge  0.0000  0.0000  0.0000  8 Pm 3.33

***

Record 4
TbPmSnGe | PBE | optimized geometry

Its density of states at the Fermi level is 4.38 states/eV per cell. The value obtained for the density is 7.83 g/cm3. As for the symmetry: F-43m. As for the energy of formation from the pure elements: -2.17 eV/f.u.

abc: 5.2958 5.2958 5.2958
angles: 60.00 60.00 60.00
Closest atoms and distances in Å follow each position.
Atoms (fractional coordinates):
Ge  0.2500  0.2500  0.2500  4 Pm 3.24, 4 Tb 3.24
Tb  0.0000  0.0000  0.0000  4 Sn 3.24, 4 Ge 3.24
Sn  0.7500  0.7500  0.7500  4 Tb 3.24, 4 Pm 3.24
Pm  0.5000  0.5000  0.5000  4 Ge 3.24, 4 Sn 3.24

***

Record 5
Pm8SnGe3Te4 | PBE | optimized geometry

Its density of states at the Fermi level is 3.47 states/eV per cell. The value obtained for the density is 6.84 g/cm3. As for the symmetry: R-3m. For the formation energy without anion corrections, the calculation gives -1.187 eV/atom.

abc: 8.7820 8.8832 8.7821
angles: 119.62 120.00 90.00
Closest atoms and distances in Å follow each position.
Atoms (fractional coordinates):
Pm  0.2472  0.7294  0.9822  2 Ge 3.01, 1 Sn 3.09, 3 Te 3.16-3.24
Pm  0.2472  0.7293  0.4944  2 Ge 3.01, 1 Sn 3.09, 3 Te 3.16-3.24
Pm  0.2592  0.2775  0.5184  3 Ge 3.01, 3 Te 3.24
Pm  0.7350  0.7294  0.9822  2 Ge 3.01, 1 Sn 3.09, 3 Te 3.16-3.24
Pm  0.2650  0.2706  0.0178  2 Ge 3.01, 1 Sn 3.09, 3 Te 3.16-3.24
Pm  0.7408  0.7225  0.4816  3 Ge 3.01, 3 Te 3.24
Pm  0.7528  0.2707  0.5056  2 Ge 3.01, 1 Sn 3.09, 3 Te 3.16-3.24
Pm  0.7528  0.2706  0.0178  2 Ge 3.01, 1 Sn 3.09, 3 Te 3.16-3.24
Sn  0.0000  0.5000  0.0000  6 Pm 3.09
Ge  0.5000  0.5000  0.0000  6 Pm 3.01
Ge  0.5000  0.5000  0.5000  6 Pm 3.01
Ge  0.0000  0.5000  0.5000  6 Pm 3.01
Te  0.5000  0.0000  0.0000  6 Pm 3.16
Te  0.5000  0.0000  0.5000  6 Pm 3.24
Te  0.0000  0.0000  0.0000  6 Pm 3.24
Te  0.0000  0.0000  0.5000  6 Pm 3.24

***

Record 6
Pm4SnGeTe2 | PBE | optimized geometry

Its density of states at the Fermi level is 1.77 states/eV per cell. The value obtained for the density is 6.87 g/cm3. As for the symmetry: P2/m. For the formation energy without anion corrections, the calculation gives -1.159 eV/atom.

abc: 4.4126 7.6846 7.7479
angles: 109.12 90.00 90.00
Closest atoms and distances in Å follow each position.
Atoms (fractional coordinates):
Pm  0.5000  0.2340  0.2277  2 Ge 3.02, 1 Sn 3.11, 3 Te 3.19-3.27
Pm  0.5000  0.7660  0.7723  2 Ge 3.02, 1 Sn 3.11, 3 Te 3.19-3.27
Pm  0.0000  0.2463  0.7644  1 Ge 3.03, 2 Sn 3.11, 3 Te 3.18-3.26
Pm  0.0000  0.7537  0.2356  1 Ge 3.03, 2 Sn 3.11, 3 Te 3.18-3.26
Sn  0.5000  0.5000  0.0000  6 Pm 3.11
Ge  0.0000  0.0000  0.0000  6 Pm 3.02-3.03
Te  0.5000  0.0000  0.5000  6 Pm 3.18-3.19
Te  0.0000  0.5000  0.5000  6 Pm 3.26-3.27